Density functional theory data (PBE) for a relaxed AlPdSe2N crystal.

Computed properties:
formation energy from raw total energies: 0.66 eV per atom
E above lowest polymorph: 265 meV per atom

Cell lengths 5.1627, 5.1627, 3.7023 Å; angles 90.00, 90.00, 90.00 degrees
Atoms (fractional coordinates):
Se (0.0000, 0.5000, 0.0000)
Se (0.5000, 0.0000, 0.0000)
Al (0.5000, 0.5000, 0.5000)
N (0.0000, 0.0000, 0.5000)
Pd (0.0000, 0.0000, 0.0000)

Density functional theory data (PBE) for a relaxed SrAlPdN2 crystal.

Computed properties:
formation energy from raw total energies: 1.83 eV per atom

Cell lengths 4.4324, 5.6300, 4.4324 Å; angles 90.00, 90.00, 90.00 degrees
Atoms (fractional coordinates):
Al (0.5000, 0.5000, 0.5000)
N (0.5000, 0.0000, 0.0000)
N (0.0000, 0.0000, 0.5000)
Sr (0.0000, 0.0000, 0.0000)
Pd (0.0000, 0.5000, 0.0000)

| no. | D(E_F) (states/eV per cell) |
| --- | --- |
| 1 | 4.30 |
| 2 | 7.01 |